No. 1
Entry from the Open Quantum Materials Database: an optimized crystal structure of ZnPt15 (PBE).

```
ZnPt15
1.0
-3.941 3.179 2.288
-1.403 -2.296 0.775
22.505 -0.456 39.402
Pt Zn
30 2
Cartesian
-1.331 0.608 1.922
-3.302 2.197 3.066
-2.024 0.234 4.622
-0.053 -1.355 3.479
0.658 0.567 5.404
-1.313 2.158 6.549
-0.035 0.194 8.103
1.937 -1.395 6.963
2.651 0.525 8.886
0.674 2.119 10.034
1.950 0.154 11.578
3.939 -1.436 10.467
4.665 0.480 12.400
2.677 2.083 13.554
3.934 0.114 15.053
13.227 0.313 27.411
14.484 -1.656 28.910
12.497 -0.053 30.064
13.223 1.863 31.996
15.212 0.273 30.886
16.488 -1.693 32.430
14.511 -0.098 33.578
15.224 1.822 35.501
17.197 0.233 34.361
18.475 -1.731 35.915
16.503 -0.140 37.060
17.214 1.782 38.985
19.185 0.192 37.842
20.464 -1.771 39.398
18.493 -0.181 40.542
5.860 -1.475 13.831
11.301 1.901 28.633
```

Values from the calculation:
Energy of formation = 0.54 eV/f.u.
ΔE to the lowest computed polymorph = 8 meV per atom

No. 2
Entry from the Open Quantum Materials Database: an optimized crystal structure of ZnPt10 (PBE).

```
ZnPt10
1.0
4.790 0.000 0.000
0.000 2.792 0.000
-0.058 0.000 37.944
Pt Zn
20 2
Cartesian
1.198 0.698 0.000
3.592 2.094 0.000
4.388 0.698 2.324
1.993 2.094 2.330
2.785 0.698 4.651
0.392 2.094 4.653
3.580 2.094 6.967
1.182 0.698 6.993
1.980 2.094 9.330
4.392 0.698 9.335
2.774 0.698 11.595
1.957 2.094 26.349
0.340 2.094 28.609
2.752 0.698 28.614
3.550 2.094 30.951
1.152 0.698 30.977
4.339 0.698 33.291
1.947 2.094 33.293
2.739 0.698 35.615
0.344 2.094 35.620
0.376 2.094 11.598
4.356 0.698 26.346
```

Values from the calculation:
Energy of formation = 0.07 eV/f.u.
ΔE to the lowest computed polymorph = 0 meV per atom

No. 3
Entry from the Open Quantum Materials Database: an optimized crystal structure of ZnPt (PBE).

```
ZnPt
1.0
2.376 4.114 0.000
-4.886 5.563 0.000
0.000 0.000 4.489
Pt Zn
5 5
Cartesian
0.016 2.750 0.000
-0.082 5.549 0.000
-2.436 7.000 0.000
-0.714 1.251 2.244
-1.016 4.168 2.244
-0.027 0.043 0.000
-2.405 4.157 0.000
1.484 2.745 2.244
-0.820 6.819 2.244
-3.246 5.597 2.244
```

Values from the calculation:
Energy of formation = -0.74 eV/f.u.

No. 4
Entry from the Open Quantum Materials Database: an optimized crystal structure of ZnPt8 (PBE).

```
ZnPt8
1.0
0.293 2.528 -4.050
-3.011 0.603 -3.667
-12.342 24.179 15.029
Pt Zn
16 2
Cartesian
-1.952 2.397 -4.793
-3.135 4.056 -6.668
-1.594 2.575 -0.816
-2.787 4.254 -2.669
-3.963 5.898 -4.553
-2.429 4.429 1.307
-3.644 6.161 -0.477
-4.780 7.726 -2.417
-10.280 19.584 9.730
-11.416 21.149 7.790
-12.631 22.880 6.006
-11.097 21.412 11.866
-12.273 23.056 9.982
-13.466 24.735 8.129
-11.925 23.254 13.981
-13.108 24.913 12.106
-3.175 6.102 3.272
-11.885 21.208 4.041
```

Values from the calculation:
Energy of formation = 0.37 eV/f.u.

No. 5
Entry from the Open Quantum Materials Database: an optimized crystal structure of Zn3Pt (PBE).

```
Zn3Pt
1.0
-2.943 -3.774 -2.386
3.762 -1.489 3.721
-3.080 0.346 3.253
Pt Zn
2 6
Cartesian
1.945 -0.837 1.931
-3.430 -3.127 0.188
0.030 -0.023 0.031
-1.457 -1.930 -1.174
0.396 -2.612 0.653
-1.881 -1.353 1.466
-0.028 -2.035 3.293
-1.514 -3.942 2.088
```

Values from the calculation:
Energy of formation = -1.28 eV/f.u.

No. 6
Entry from the Open Quantum Materials Database: an optimized crystal structure of Zn12Pt7 (PBE).

```
Zn12Pt7
1.0
-2.789 -5.859 -2.670
13.860 4.848 -25.116
2.192 -1.466 0.926
Pt Zn
14 24
Cartesian
0.000 0.000 0.000
-0.564 -2.816 -3.122
-0.769 -5.115 -6.274
1.524 -2.109 -6.940
3.783 1.123 -7.172
3.556 -1.161 -10.250
5.896 1.884 -10.965
5.535 -0.505 -13.893
5.175 -2.895 -16.821
7.514 0.151 -17.537
7.288 -2.133 -20.614
9.547 1.098 -20.846
11.839 4.105 -21.513
11.634 1.806 -24.664
0.319 -2.552 -0.578
-0.354 -5.510 -3.665
1.782 -1.716 -2.714
1.329 -3.718 -4.811
3.193 -1.133 -5.131
1.688 -4.739 -7.277
4.014 -1.484 -7.628
3.238 -3.558 -9.076
5.684 0.247 -8.840
4.548 -3.189 -11.590
5.991 -0.849 -11.302
5.639 -3.133 -14.081
7.623 0.657 -12.779
7.271 -1.627 -15.558
8.714 0.713 -15.270
7.578 -2.723 -18.020
10.023 1.082 -17.784
9.248 -0.992 -19.232
11.573 2.263 -19.583
10.069 -1.343 -21.729
11.933 1.242 -22.049
11.480 -0.761 -24.146
13.616 3.034 -23.195
12.943 0.076 -26.282
```

Values from the calculation:
Energy of formation = -9.31 eV/f.u.

Quick rundown of volume, same order as above: 706.0 507.3 149.6 522.1 115.3 570.4 Å³ per cell